## Nd2CoBrClO2 (GGA+U)

Data for a relaxed Nd2CoBrClO2 crystal.

a = 8.4212 Å, b = 8.4212 Å, c = 8.4212 Å
α = 152.42°, β = 152.42°, γ = 39.41°
Last column: nearest neighbours and their distance in Å.
Element x y z (fractional)
Nd1 0.0000 0.0000 0.0000  4 O 2.50
Nd2 0.1901 0.1901 0.0000  4 O 2.52
Co1 0.5962 0.5962 0.0000  4 O 2.01
Br1 0.7833 0.7833 0.0000  1 Co 2.97, 4 Nd 3.20
Cl1 0.4208 0.4208 0.0000  1 Co 2.78, 4 Nd 3.10
O1 0.0936 0.5936 0.5000  2 Co 2.01
O2 0.5936 0.0936 0.5000  2 Co 2.01

Results
Calculated volume   128 Å³/f.u.
Total energy   -5.89 eV per atom